Record 1
Here is an optimized crystal structure of CrMoBr2 from Alexandria via LeMat-Bulk. Energies are from GGA-PBE.

Structure (POSCAR):
```
CrMoBr2
1.0
6.946 0.000 0.000
0.000 6.946 0.000
0.000 0.000 6.946
Cr Mo Br
4 4 8
direct
0.000 0.000 0.000
0.000 0.500 0.500
0.500 0.000 0.500
0.500 0.500 0.000
0.250 0.250 0.250
0.250 0.750 0.750
0.750 0.250 0.750
0.750 0.750 0.250
0.000 0.000 0.500
0.000 0.500 0.000
0.250 0.250 0.750
0.250 0.750 0.250
0.500 0.000 0.000
0.500 0.500 0.500
0.750 0.250 0.250
0.750 0.750 0.750
```

Output
ρ, Mg/m³: 6.1
Symmetry: F-43m
M_tot, μB per formula unit: 0.12
DFT total energy, eV for the cell shown: -79.56
Formation energy without anion corrections, eV/atom: 0.98
Energy relative to the lowest polymorph listed for this composition, meV/atom: 952
Density of states at the Fermi level, states/eV/f.u.: 3.54


Record 2
Here is an optimized crystal structure of Dy2Ho3Tm8 from Alexandria via LeMat-Bulk. Energies are from GGA-PBE.

Structure (POSCAR):
```
Dy2Ho3Tm8
1.0
-2.757 3.364 10.951
2.757 -3.364 10.951
2.757 3.364 -10.951
Dy Ho Tm
2 3 8
direct
0.223 0.223 0.000
0.777 0.777 0.000
0.235 0.500 0.735
0.500 0.000 0.500
0.765 0.500 0.265
0.075 0.075 0.000
0.086 0.348 0.739
0.315 0.815 0.500
0.391 0.652 0.739
0.609 0.348 0.261
0.685 0.185 0.500
0.914 0.652 0.261
0.925 0.925 0.000
```

Output
Energy relative to the elements, eV/atom: 0.165
ρ, Mg/m³: 8.9
Symmetry: Immm
M_tot, μB per formula unit: 0.00
DFT total energy, eV for the cell shown: -56.57
Energy relative to the lowest polymorph listed for this composition, meV/atom: 0
Density of states at the Fermi level, states/eV/f.u.: 20.77


Record 3
Here is an optimized crystal structure of ErTm2Ir4 from Alexandria via LeMat-Bulk. Energies are from GGA-PBE.

Structure (POSCAR):
```
ErTm2Ir4
1.0
6.585 0.000 0.000
0.000 6.585 0.000
0.000 0.000 6.553
Er Tm Ir
2 4 8
direct
0.000 0.000 0.000
0.500 0.500 0.500
0.000 0.500 0.000
0.000 0.500 0.500
0.500 0.000 0.000
0.500 0.000 0.500
0.250 0.250 0.250
0.250 0.250 0.750
0.250 0.750 0.250
0.250 0.750 0.750
0.750 0.250 0.250
0.750 0.250 0.750
0.750 0.750 0.250
0.750 0.750 0.750
```

Output
Energy relative to the elements, eV/atom: -0.315
ρ, Mg/m³: 14.9
Symmetry: I4/mmm
M_tot, μB per formula unit: 0.00
DFT total energy, eV for the cell shown: -102.31
Density of states at the Fermi level, states/eV/f.u.: 6.87


Record 4
Here is an optimized crystal structure of Dy4GeSb from Alexandria via LeMat-Bulk. Energies are from GGA-PBE.

Structure (POSCAR):
```
Dy4GeSb
1.0
5.845 0.000 0.000
0.000 8.825 0.000
-1.926 0.000 7.276
Dy Ge Sb
8 2 2
direct
0.020 0.048 0.240
0.020 0.452 0.240
0.409 0.750 0.486
0.436 0.250 0.992
0.564 0.750 0.008
0.591 0.250 0.514
0.980 0.548 0.760
0.980 0.952 0.760
0.094 0.750 0.072
0.906 0.250 0.928
0.117 0.250 0.585
0.883 0.750 0.415
```

Output
ρ, Mg/m³: 7.5
Symmetry: P2_1/m
M_tot, μB per formula unit: 0.01
DFT total energy, eV for the cell shown: -59.32
Formation energy without anion corrections, eV/atom: -0.42
Density of states at the Fermi level, states/eV/f.u.: 7.65


Record 5
Here is an optimized crystal structure of AcTmZnCd from Alexandria via LeMat-Bulk. Energies are from GGA-PBE.

Structure (POSCAR):
```
AcTmZnCd
1.0
7.663 0.000 0.000
0.000 7.663 0.000
0.000 0.000 7.663
Ac Tm Zn Cd
4 4 4 4
direct
0.000 0.000 0.000
0.000 0.500 0.500
0.500 0.000 0.500
0.500 0.500 0.000
0.000 0.000 0.500
0.000 0.500 0.000
0.500 0.000 0.000
0.500 0.500 0.500
0.250 0.250 0.250
0.250 0.750 0.750
0.750 0.250 0.750
0.750 0.750 0.250
0.250 0.250 0.750
0.250 0.750 0.250
0.750 0.250 0.250
0.750 0.750 0.750
```

Output
Energy relative to the elements, eV/atom: -0.218
ρ, Mg/m³: 8.5
Symmetry: F-43m
M_tot, μB per formula unit: 0.00
DFT total energy, eV for the cell shown: -46.57
Density of states at the Fermi level, states/eV/f.u.: 4.95


Record 6
Here is an optimized crystal structure of Na2H2Cl5 from Alexandria via LeMat-Bulk. Energies are from GGA-PBE.

Structure (POSCAR):
```
Na2H2Cl5
1.0
-11.384 5.544 2.148
11.384 -5.544 2.148
11.384 5.544 -2.148
Na H Cl
4 4 10
direct
0.000 0.118 0.118
0.000 0.382 0.382
0.000 0.618 0.618
0.000 0.882 0.882
0.416 0.250 0.666
0.500 0.000 0.500
0.500 0.500 0.000
0.584 0.750 0.334
0.223 0.752 0.971
0.409 0.552 0.961
0.409 0.948 0.357
0.417 0.182 0.598
0.417 0.318 0.735
0.583 0.682 0.265
0.583 0.818 0.402
0.591 0.052 0.643
0.591 0.448 0.039
0.780 0.252 0.029
```

Output
ρ, Mg/m³: 1.4
Symmetry: Ima2
M_tot, μB per formula unit: 0.00
DFT total energy, eV for the cell shown: -54.20


Record 7
Here is an optimized crystal structure of Na2Li2Pb3 from Alexandria via LeMat-Bulk. Energies are from GGA-PBE.

Structure (POSCAR):
```
Na2Li2Pb3
1.0
10.741 0.000 0.000
0.000 4.712 0.000
-3.027 0.000 7.400
Na Li Pb
4 4 6
direct
0.139 0.000 0.279
0.361 0.500 0.721
0.639 0.500 0.279
0.861 0.000 0.721
0.139 0.000 0.690
0.361 0.500 0.310
0.639 0.500 0.690
0.861 0.000 0.310
0.000 0.500 0.500
0.134 0.500 0.944
0.366 0.000 0.056
0.500 0.000 0.500
0.634 0.000 0.944
0.866 0.500 0.056
```

Output
Energy relative to the elements, eV/atom: -0.171
ρ, Mg/m³: 6.0
Symmetry: C2/m
M_tot, μB per formula unit: 0.00
DFT total energy, eV for the cell shown: -37.57
Energy relative to the lowest polymorph listed for this composition, meV/atom: 0
Density of states at the Fermi level, states/eV/f.u.: 3.01


Record 8
Here is an optimized crystal structure of Cs2NaTiF6 from Alexandria via LeMat-Bulk. Energies are from GGA-PBE.

Structure (POSCAR):
```
Cs2NaTiF6
1.0
3.204 1.850 10.340
-3.204 1.850 10.340
0.000 -3.700 10.340
Cs Na Ti F
4 2 2 12
direct
0.127 0.127 0.127
0.282 0.282 0.282
0.718 0.718 0.718
0.873 0.873 0.873
0.403 0.403 0.403
0.597 0.597 0.597
0.000 0.000 0.000
0.500 0.500 0.500
0.173 0.605 0.605
0.186 0.186 0.735
0.186 0.735 0.186
0.265 0.814 0.814
0.395 0.395 0.827
0.395 0.827 0.395
0.605 0.173 0.605
0.605 0.605 0.173
0.735 0.186 0.186
0.814 0.265 0.814
0.814 0.814 0.265
0.827 0.395 0.395
```

Output
ρ, Mg/m³: 4.1
Symmetry: R-3m
M_tot, μB per formula unit: 1.00
DFT total energy, eV for the cell shown: -105.39
Formation energy without anion corrections, eV/atom: -3.05
Density of states at the Fermi level, states/eV/f.u.: 8.27


Record 9
Here is an optimized crystal structure of NdBi3Se6 from Alexandria via LeMat-Bulk. Energies are from GGA-PBE.

Structure (POSCAR):
```
NdBi3Se6
1.0
12.277 0.000 0.000
0.000 4.180 0.000
-3.853 0.000 11.724
Nd Bi Se
2 6 12
direct
0.191 0.250 0.040
0.809 0.750 0.960
0.029 0.750 0.300
0.338 0.250 0.437
0.402 0.750 0.848
0.598 0.250 0.152
0.662 0.750 0.563
0.971 0.250 0.700
0.033 0.750 0.896
0.117 0.250 0.466
0.231 0.750 0.239
0.242 0.250 0.806
0.391 0.750 0.072
0.421 0.750 0.597
0.579 0.250 0.403
0.609 0.250 0.928
0.758 0.750 0.194
0.769 0.250 0.761
0.883 0.750 0.534
0.967 0.250 0.104
```

Output
ρ, Mg/m³: 6.9
Symmetry: P2_1/m
M_tot, μB per formula unit: 0.00
DFT total energy, eV for the cell shown: -89.88
Formation energy without anion corrections, eV/atom: -0.76


Record 10
Here is an optimized crystal structure of Pm4H2CN from Alexandria via LeMat-Bulk. Energies are from GGA-PBE.

Structure (POSCAR):
```
Pm4H2CN
1.0
6.311 0.000 0.000
0.000 3.655 0.000
-2.080 0.000 5.996
Pm H C N
4 2 1 1
direct
0.239 0.000 0.227
0.254 0.500 0.770
0.746 0.500 0.230
0.761 0.000 0.773
0.000 0.000 0.500
0.500 0.500 0.500
0.500 0.000 0.000
0.000 0.500 0.000
```

Output
ρ, Mg/m³: 7.3
Symmetry: P2/m
M_tot, μB per formula unit: 0.00
DFT total energy, eV for the cell shown: -48.54
Density of states at the Fermi level, states/eV/f.u.: 3.19


Record 11
Here is an optimized crystal structure of Ho11In9Co4 from Alexandria via LeMat-Bulk. Energies are from GGA-PBE.

Structure (POSCAR):
```
Ho11In9Co4
1.0
7.183 -10.744 0.000
7.183 10.744 0.000
0.000 0.000 3.627
Ho In Co
11 9 4
direct
0.000 0.000 0.000
0.083 0.418 0.000
0.161 0.839 0.000
0.314 0.314 0.000
0.375 0.625 0.000
0.418 0.083 0.000
0.582 0.917 0.000
0.625 0.375 0.000
0.686 0.686 0.000
0.839 0.161 0.000
0.917 0.582 0.000
0.079 0.220 0.500
0.158 0.631 0.500
0.220 0.079 0.500
0.369 0.842 0.500
0.500 0.500 0.500
0.631 0.158 0.500
0.780 0.921 0.500
0.842 0.369 0.500
0.921 0.780 0.500
0.248 0.450 0.500
0.450 0.248 0.500
0.550 0.752 0.500
0.752 0.550 0.500
```

Output
Energy relative to the elements, eV/atom: -0.441
ρ, Mg/m³: 9.1
Symmetry: Cmmm
M_tot, μB per formula unit: 0.00
DFT total energy, eV for the cell shown: -114.01
Density of states at the Fermi level, states/eV/f.u.: 14.36


Record 12
Here is an optimized crystal structure of Ni2GeB2 from Alexandria via LeMat-Bulk. Energies are from GGA-PBE.

Structure (POSCAR):
```
Ni2GeB2
1.0
3.591 0.000 0.000
0.000 3.591 0.000
0.000 0.000 7.960
Ni Ge B
4 2 4
direct
0.000 0.500 0.250
0.000 0.500 0.750
0.500 0.000 0.250
0.500 0.000 0.750
0.000 0.000 0.000
0.500 0.500 0.500
0.000 0.000 0.393
0.000 0.000 0.607
0.500 0.500 0.107
0.500 0.500 0.893
```

Output
Energy relative to the elements, eV/atom: 0.134
ρ, Mg/m³: 6.8
Symmetry: I4/mmm
M_tot, μB per formula unit: 0.00
DFT total energy, eV for the cell shown: -57.73
Energy relative to the lowest polymorph listed for this composition, meV/atom: 0
Density of states at the Fermi level, states/eV/f.u.: 2.75


Question: Which of these has the lowest ρ?
Answer: Na2H2Cl5


Question: What is the ρ in the twelfth record?
Answer: 6.8 Mg/m³


Question: Number 3 is which compound?
Answer: ErTm2Ir4